The following is a DFT calculation (GGA-PBE) of an optimized crystal structure of MnCuTe2.

Values from the calculation:
As for the calculated total energy: -4.62 eV per atom. As for the volume: 24.64 Å³/atom. Its space-group type is Cmmm, No. 65.

Unit cell a=3.857 b=3.857 c=7.575 alpha=90.00 beta=90.00 gamma=118.99
Last column: magnetic moment on the atom in μB.
Sites, in units of the cell vectors:
Cu1 0.500 0.500 0.250  -0.01
Mn1 0.500 0.500 0.750  4.00
Te1 0.000 0.000 0.004  -0.02
Te2 0.000 0.000 0.496  -0.02